No. 1
Ho3Er2Zn3, relaxed, DFT PBE; formation enthalpy at 0 K = -252 meV per atom
1.0
-1.787 2.570 10.640
1.787 -2.570 10.640
1.787 2.570 -10.640
Ho Er Zn
3 2 3
Direct
0.000 0.000 0.000
0.381 0.881 0.500
0.619 0.119 0.500
0.229 0.229 0.000
0.771 0.771 0.000
0.115 0.615 0.500
0.500 0.500 0.000
0.885 0.385 0.500

=====

No. 2
ThSiS4Cl, relaxed, DFT PBE; formation energy from raw total energies = -1.068 eV per atom
1.0
5.724 -4.447 0.000
5.724 4.447 0.000
-2.220 0.000 7.839
Th Si S Cl
2 2 8 2
Direct
0.208 0.208 0.094
0.792 0.792 0.906
0.356 0.356 0.725
0.644 0.644 0.275
0.110 0.470 0.849
0.293 0.293 0.459
0.456 0.456 0.235
0.470 0.110 0.849
0.530 0.890 0.151
0.544 0.544 0.765
0.707 0.707 0.541
0.890 0.530 0.151
0.005 0.005 0.801
0.995 0.995 0.199

=====

No. 3
Ba5Li3Mg12, relaxed, DFT PBE; formation enthalpy at 0 K = 374 meV per atom
1.0
-9.460 9.460 9.460
9.460 -9.460 9.460
9.460 9.460 -9.460
Ba Li Mg
20 12 48
Direct
0.000 0.000 0.000
0.000 0.000 0.500
0.000 0.500 0.000
0.000 0.500 0.500
0.125 0.750 0.875
0.125 0.875 0.250
0.250 0.125 0.875
0.250 0.625 0.375
0.375 0.250 0.625
0.375 0.625 0.750
0.500 0.000 0.000
0.500 0.000 0.500
0.500 0.500 0.000
0.500 0.500 0.500
0.625 0.375 0.250
0.625 0.750 0.375
0.750 0.375 0.625
0.750 0.875 0.125
0.875 0.125 0.750
0.875 0.250 0.125
0.125 0.250 0.375
0.125 0.375 0.750
0.250 0.375 0.125
0.250 0.875 0.625
0.375 0.125 0.250
0.375 0.750 0.125
0.625 0.250 0.875
0.625 0.875 0.750
0.750 0.125 0.375
0.750 0.625 0.875
0.875 0.625 0.250
0.875 0.750 0.625
0.037 0.646 0.397
0.037 0.891 0.640
0.103 0.749 0.640
0.103 0.854 0.463
0.109 0.249 0.146
0.109 0.360 0.963
0.140 0.249 0.603
0.140 0.391 0.537
0.146 0.109 0.249
0.146 0.537 0.897
0.249 0.146 0.109
0.249 0.603 0.140
0.251 0.360 0.897
0.251 0.391 0.354
0.354 0.251 0.391
0.354 0.603 0.963
0.360 0.897 0.251
0.360 0.963 0.109
0.391 0.354 0.251
0.391 0.537 0.140
0.397 0.037 0.646
0.397 0.860 0.751
0.463 0.103 0.854
0.463 0.860 0.609
0.537 0.140 0.391
0.537 0.897 0.146
0.603 0.140 0.249
0.603 0.963 0.354
0.609 0.463 0.860
0.609 0.646 0.749
0.640 0.037 0.891
0.640 0.103 0.749
0.646 0.397 0.037
0.646 0.749 0.609
0.749 0.609 0.646
0.749 0.640 0.103
0.751 0.397 0.860
0.751 0.854 0.891
0.854 0.463 0.103
0.854 0.891 0.751
0.860 0.609 0.463
0.860 0.751 0.397
0.891 0.640 0.037
0.891 0.751 0.854
0.897 0.146 0.537
0.897 0.251 0.360
0.963 0.109 0.360
0.963 0.354 0.603

=====

No. 4
Er4CdCu2Os, relaxed, DFT PBE; formation enthalpy at 0 K = -298 meV per atom
1.0
2.474 1.428 8.068
-2.474 1.428 8.068
0.000 -2.857 8.068
Er Cd Cu Os
4 1 2 1
Direct
0.117 0.117 0.117
0.368 0.368 0.368
0.632 0.632 0.632
0.883 0.883 0.883
0.500 0.500 0.500
0.244 0.244 0.244
0.756 0.756 0.756
0.000 0.000 0.000

=====

No. 5
PmErAu2, relaxed, DFT PBE; formation enthalpy at 0 K = -838 meV per atom
1.0
3.594 0.000 0.000
0.000 3.594 0.000
0.000 0.000 7.391
Pm Er Au
1 1 2
Direct
0.000 0.000 0.000
0.000 0.000 0.500
0.500 0.500 0.271
0.500 0.500 0.729

=====

No. 6
MgFeCl2, relaxed, DFT PBE; formation energy from raw total energies = -0.488 eV per atom
1.0
3.563 0.000 0.000
0.000 3.383 0.000
-1.768 0.000 6.919
Mg Fe Cl
1 1 2
Direct
0.000 0.000 0.000
0.579 0.500 0.160
0.411 0.500 0.823
0.692 0.000 0.384

=====

No. 7
Cd2InPtBr, relaxed, DFT PBE; formation energy from raw total energies = -0.327 eV per atom
1.0
5.295 0.000 0.000
0.000 5.295 0.000
0.000 0.000 5.224
Cd In Pt Br
2 1 1 1
Direct
0.000 0.500 0.000
0.500 0.000 0.000
0.000 0.000 0.500
0.000 0.000 0.000
0.500 0.500 0.500

=====

No. 8
La3MgSi, relaxed, DFT PBE; formation energy from raw total energies = -0.067 eV per atom
1.0
5.756 0.000 0.000
0.000 5.756 0.000
0.000 0.000 5.756
La Mg Si
3 1 1
Direct
0.000 0.000 0.500
0.000 0.500 0.000
0.500 0.000 0.000
0.500 0.500 0.500
0.000 0.000 0.000

=====

No. 9
CsPd4F12, relaxed, DFT PBE; formation energy from raw total energies = -1.401 eV per atom
1.0
-4.108 4.108 4.108
4.108 -4.108 4.108
4.108 4.108 -4.108
Cs Pd F
1 4 12
Direct
0.000 0.000 0.000
0.000 0.000 0.500
0.000 0.500 0.000
0.500 0.000 0.000
0.500 0.500 0.500
0.052 0.773 0.279
0.227 0.279 0.506
0.227 0.721 0.948
0.279 0.052 0.773
0.279 0.506 0.227
0.494 0.773 0.721
0.506 0.227 0.279
0.721 0.494 0.773
0.721 0.948 0.227
0.773 0.279 0.052
0.773 0.721 0.494
0.948 0.227 0.721

=====

No. 10
Dy6Te3Pd, relaxed, DFT PBE; formation energy from raw total energies = -0.876 eV per atom
1.0
11.269 0.000 0.000
0.000 4.004 0.000
-3.594 0.000 12.710
Dy Te Pd
12 6 2
Direct
0.024 0.250 0.347
0.067 0.250 0.890
0.274 0.750 0.330
0.299 0.750 0.762
0.403 0.250 0.560
0.408 0.750 0.124
0.592 0.250 0.876
0.597 0.750 0.440
0.701 0.250 0.238
0.726 0.250 0.670
0.933 0.750 0.110
0.976 0.750 0.653
0.154 0.250 0.146
0.170 0.750 0.524
0.347 0.250 0.941
0.653 0.750 0.059
0.830 0.250 0.476
0.846 0.750 0.854
0.458 0.250 0.296
0.542 0.750 0.704

=====

No. 11
LiNd2Se3, relaxed, DFT PBE; formation energy from raw total energies = -1.728 eV per atom
1.0
-2.080 2.967 6.236
2.080 -2.967 6.236
2.080 2.967 -6.236
Li Nd Se
1 2 3
Direct
0.000 0.000 0.000
0.333 0.333 0.000
0.667 0.667 0.000
0.158 0.658 0.500
0.500 0.000 0.500
0.842 0.342 0.500

=====

No. 12
LaLuBeCu, relaxed, DFT PBE; formation enthalpy at 0 K = -1 meV per atom
1.0
0.000 3.512 3.512
3.512 0.000 3.512
3.512 3.512 0.000
La Lu Be Cu
1 1 1 1
Direct
0.000 0.000 0.000
0.500 0.500 0.500
0.750 0.750 0.750
0.250 0.250 0.250

=====

No. 13
Th2PdPt2, relaxed, DFT PBE; formation enthalpy at 0 K = -1101 meV per atom
1.0
7.740 0.000 0.000
0.000 7.740 0.000
0.000 0.000 3.842
Th Pd Pt
4 2 4
Direct
0.174 0.326 0.000
0.326 0.826 0.000
0.674 0.174 0.000
0.826 0.674 0.000
0.000 0.000 0.500
0.500 0.500 0.500
0.131 0.631 0.500
0.369 0.131 0.500
0.631 0.869 0.500
0.869 0.369 0.500

=====

No. 14
ReSbOF2, relaxed, DFT PBE; formation energy from raw total energies = -0.091 eV per atom
1.0
4.597 0.000 0.000
0.000 4.597 0.000
0.000 0.000 4.281
Re Sb O F
1 1 1 2
Direct
0.000 0.000 0.000
0.500 0.500 0.500
0.500 0.500 0.000
0.000 0.500 0.500
0.500 0.000 0.500

=====

No. 15
Cr2TcSe, relaxed, DFT PBE; formation energy from raw total energies = 0.284 eV per atom
1.0
0.000 3.000 3.000
3.000 0.000 3.000
3.000 3.000 0.000
Cr Tc Se
2 1 1
Direct
0.000 0.000 0.000
0.250 0.250 0.250
0.500 0.500 0.500
0.750 0.750 0.750

=====

No. 16
RbTl3Bi3, relaxed, DFT PBE; formation enthalpy at 0 K = 62 meV per atom
1.0
8.690 0.000 0.000
0.000 8.690 0.000
0.000 0.000 8.690
Rb Tl Bi
2 6 6
Direct
0.000 0.000 0.000
0.500 0.500 0.500
0.000 0.250 0.500
0.000 0.750 0.500
0.250 0.500 0.000
0.500 0.000 0.250
0.500 0.000 0.750
0.750 0.500 0.000
0.000 0.500 0.250
0.000 0.500 0.750
0.250 0.000 0.500
0.500 0.250 0.000
0.500 0.750 0.000
0.750 0.000 0.500

=====

No. 17
Sm2Ho4Tm3, relaxed, DFT PBE; formation enthalpy at 0 K = 96 meV per atom
1.0
8.010 -5.775 0.000
8.010 5.775 0.000
-0.628 0.000 6.082
Sm Ho Tm
4 8 6
Direct
0.024 0.734 0.678
0.266 0.976 0.822
0.734 0.024 0.178
0.976 0.266 0.322
0.075 0.355 0.848
0.311 0.595 0.986
0.355 0.075 0.348
0.405 0.689 0.514
0.595 0.311 0.486
0.645 0.925 0.652
0.689 0.405 0.014
0.925 0.645 0.152
0.098 0.902 0.250
0.237 0.432 0.409
0.432 0.237 0.909
0.568 0.763 0.091
0.763 0.568 0.591
0.902 0.098 0.750

=====

No. 18
Li3Al2, relaxed, DFT PBE; formation enthalpy at 0 K = -15 meV per atom
1.0
2.655 1.533 3.508
-2.655 1.533 3.508
0.000 -3.066 3.508
Li Al
3 2
Direct
0.000 0.500 0.500
0.500 0.000 0.500
0.500 0.500 0.000
0.126 0.126 0.126
0.874 0.874 0.874

=====

No. 19
CdWCl2, relaxed, DFT PBE; formation energy from raw total energies = -0.017 eV per atom
1.0
5.488 -1.490 0.000
5.488 1.490 0.000
-2.896 0.000 6.490
Cd W Cl
1 1 2
Direct
0.000 0.000 0.000
0.265 0.265 0.000
0.667 0.667 0.699
0.826 0.826 0.301

=====

No. 20
RuCl4, relaxed, DFT PBE; formation energy from raw total energies = 0.068 eV per atom
1.0
4.755 0.000 0.000
0.000 4.755 0.000
0.000 0.000 4.755
Ru Cl
1 4
Direct
0.000 0.000 0.000
0.000 0.000 0.500
0.000 0.500 0.000
0.500 0.000 0.000
0.500 0.500 0.500